ScTiTc2: relaxed, PBE-GGA.

Calculated values
DFT formation energy in meV/atom: 515

Structure (extended XYZ):
```
4
Lattice="3.135 1.497 -4.698 -5.252 -2.512 0.500 -3.722 1.184 4.346" Properties=species:S:1:pos:R:3 pbc="T T T"
Sc 0.000 0.000 0.000
Ti -4.487 -0.664 2.423
Tc -2.332 -0.345 1.259
Tc -6.642 -0.983 3.587
```